This record from Alexandria via LeMat-Bulk describes a relaxed LaZn2Cl crystal. The functional is GGA-PBE.

M_tot   0.000 μB per cell
DOS(E_F)   2.6 states/eV/f.u.
E_form (uncorrected)   -646 meV/atom
Offset from the most stable computed form   70 meV per atom
SG   P4mm
Volume   104.94 Å³ per cell

Cell and atoms, written as extended XYZ:
```
4
Lattice="3.503 0.000 0.000 0.000 3.503 0.000 0.000 0.000 8.552" Properties=species:S:1:pos:R:3 pbc="T T T"
La 0.000 0.000 0.000
Zn 0.000 0.000 3.239
Zn 1.752 1.752 2.180
Cl 1.752 1.752 6.870
```